# Ag2W

A relaxed structure of Ag2W (PBE-GGA, Alexandria).

```
12
Lattice="-1.501 0.340 2.170 -2.535 -3.412 -1.219 11.320 -11.874 9.691" Properties=species:S:1:pos:R:3 pbc="T T T"
Ag -0.193 -1.315 0.073
Ag 2.191 -4.433 3.841
Ag 5.093 -10.513 6.801
Ag 1.451 -3.040 1.480
Ag 3.449 -8.788 5.394
Ag 3.835 -6.158 5.249
Ag 7.334 -12.246 6.992
Ag 8.978 -13.970 8.400
W 8.670 -11.230 9.389
W -1.387 -3.716 1.254
W 2.494 -7.169 2.848
W 6.292 -8.117 5.624
```

Relative energy among the computed polymorphs ... 537 meV per atom
ΔE_f ... 988.9 meV per atom

=====

# AgW3

A relaxed structure of AgW3 (PBE-GGA, Alexandria).

```
4
Lattice="-4.085 -1.722 0.960 -0.702 -2.102 3.957 -2.593 1.945 3.173" Properties=species:S:1:pos:R:3 pbc="T T T"
W -3.690 -0.940 4.045
W -1.845 -0.470 2.022
W -5.535 -1.409 6.067
Ag 0.000 0.000 0.000
```

Relative energy among the computed polymorphs ... 351 meV per atom
ΔE_f ... 685.6 meV per atom

=====

# Ag2W

A relaxed structure of Ag2W (PBE-GGA, Alexandria).

```
3
Lattice="-1.140 -2.347 -1.071 2.287 -0.165 1.642 -4.341 -0.622 5.983" Properties=species:S:1:pos:R:3 pbc="T T T"
Ag -1.742 -1.306 4.716
Ag -0.007 -0.001 0.010
W -1.444 -1.827 1.828
```

Relative energy among the computed polymorphs ... 32 meV per atom
ΔE_f ... 483.3 meV per atom

=====

# Ag2W

A relaxed structure of Ag2W (PBE-GGA, Alexandria).

```
6
Lattice="-5.626 0.019 5.789 4.206 -2.238 -6.516 2.779 -2.667 2.710" Properties=species:S:1:pos:R:3 pbc="T T T"
W 4.128 -3.742 -1.778
W -2.769 -1.144 3.760
Ag 0.518 -1.899 -0.354
Ag 3.775 -2.647 -4.430
Ag 0.841 -2.988 2.336
Ag -2.416 -2.240 6.412
```

Relative energy among the computed polymorphs ... 0 meV per atom
ΔE_f ... 451.7 meV per atom

=====

# AgW3

A relaxed structure of AgW3 (PBE-GGA, Alexandria).

```
8
Lattice="-2.030 2.030 7.894 2.030 -2.030 7.894 2.030 2.030 -7.894" Properties=species:S:1:pos:R:3 pbc="T T T"
Ag 0.000 0.000 5.919
Ag 0.000 0.000 9.870
W 2.030 0.000 3.947
W 0.000 0.000 1.951
W 0.000 2.030 0.000
W 0.000 2.030 3.947
W 2.030 0.000 0.000
W 0.000 0.000 13.838
```

Relative energy among the computed polymorphs ... 234 meV per atom
ΔE_f ... 568.7 meV per atom

=====

# AgW3

A relaxed structure of AgW3 (PBE-GGA, Alexandria).

```
4
Lattice="2.788 0.000 0.000 -1.394 2.414 0.000 0.000 0.000 9.908" Properties=species:S:1:pos:R:3 pbc="T T T"
Ag 0.000 0.000 0.000
W 0.000 0.000 4.954
W 0.000 1.610 7.398
W 0.000 1.610 2.510
```

Relative energy among the computed polymorphs ... 203 meV per atom
ΔE_f ... 537.5 meV per atom

=====

# Ag2W

A relaxed structure of Ag2W (PBE-GGA, Alexandria).

```
6
Lattice="2.408 -1.085 4.696 -5.238 -0.628 -1.092 2.260 -3.634 -3.272" Properties=species:S:1:pos:R:3 pbc="T T T"
Ag -0.231 -3.147 1.643
Ag 2.588 -3.710 0.270
Ag -3.158 -1.637 0.062
Ag -0.339 -2.200 -1.312
W -0.708 -0.428 0.901
W -2.123 -1.284 2.702
```

Relative energy among the computed polymorphs ... 417 meV per atom
ΔE_f ... 868.3 meV per atom

=====

# Ag2W

A relaxed structure of Ag2W (PBE-GGA, Alexandria).

```
6
Lattice="-2.387 3.706 1.346 -1.011 -4.148 1.737 3.677 0.852 4.175" Properties=species:S:1:pos:R:3 pbc="T T T"
Ag -0.550 -1.317 2.650
Ag 1.838 0.426 2.087
Ag 0.000 0.000 0.000
Ag 0.830 1.727 4.607
W -1.009 1.301 2.520
W 1.288 -0.891 4.738
```

Relative energy among the computed polymorphs ... 686 meV per atom
ΔE_f ... 1137.7 meV per atom